Record 1
## BP2AuO (GGA-PBEsol)

Data for a relaxed BP2AuO crystal.

Unit cell a=4.794 b=4.794 c=3.796 alpha=90.00 beta=90.00 gamma=90.00
Space group P4/mmm (No. 123)
Symmetry-distinct sites (fractional):
B 0.000 0.000 0.000 x1
P 0.000 0.500 0.500 x2
Au 0.500 0.500 0.500 x1
O 0.500 0.500 0.000 x1

Summary:
crystal system: tetragonal

=====

Record 2
## TeBrO2 (GGA-PBEsol)

Data for a relaxed TeBrO2 crystal.

Unit cell a=3.3577 b=3.3577 c=27.9733 alpha=90.00 beta=90.00 gamma=120.00
Space group R-3m (No. 166, hexagonal axes)
Symmetry-distinct sites (fractional):
Te 0.0000 0.0000 0.0000 x3
Br 0.0000 0.0000 0.5000 x3
O 0.0000 0.0000 0.3699 x6

Summary:
crystal system: trigonal

=====

Record 3
## AlPtF3 (GGA-PBEsol)

Data for a relaxed AlPtF3 crystal.

Unit cell a=4.278 b=4.278 c=4.278 alpha=90.00 beta=90.00 gamma=90.00
Space group Pm-3m (No. 221)
Symmetry-distinct sites (fractional):
Al 0.000 0.000 0.000 x1
Pt 0.500 0.500 0.500 x1
F 0.000 0.500 0.500 x3

Summary:
crystal system: cubic

=====

Record 4
## RbMn2SeF (GGA-PBEsol)

Data for a relaxed RbMn2SeF crystal.

Unit cell a=4.362 b=4.362 c=5.847 alpha=90.00 beta=90.00 gamma=90.00
Space group P4/mmm (No. 123)
Symmetry-distinct sites (fractional):
Rb 0.000 0.000 0.000 x1
Mn 0.000 0.500 0.500 x2
Se 0.500 0.500 0.000 x1
F 0.500 0.500 0.500 x1

Summary:
crystal system: tetragonal

=====

E_tot for every record listed, in sequence, given in eV per atom: -3.875, -4.249, -4.144, -5.207.